Record 1
The following is a DFT calculation (PBE-GGA) of an optimized crystal structure of DyHo2Ga.

Calculated values
Crystal system = orthorhombic

The structure in POSCAR format:
```
DyHo2Ga
1.0
4.843 0.000 0.000
0.000 5.244 4.239
0.000 -5.244 4.239
Dy Ho Ga
2 4 2
Cartesian
1.211 -4.052 4.239
3.632 4.052 4.239
1.211 -1.239 2.522
1.211 1.185 5.041
3.632 1.239 2.522
3.632 -1.185 5.041
1.211 -1.852 6.753
3.632 1.852 6.753
```



Record 2
The following is a DFT calculation (PBE-GGA) of an optimized crystal structure of DyHoGa2.

Calculated values
Crystal system = orthorhombic

The structure in POSCAR format:
```
DyHoGa2
1.0
5.035 0.000 0.000
0.000 3.188 5.810
0.000 -3.188 5.810
Dy Ho Ga
2 2 4
Cartesian
0.000 0.000 0.000
2.517 0.000 4.360
0.000 -1.507 8.658
0.000 1.507 8.658
0.000 0.000 5.961
2.517 -1.750 7.090
2.517 0.000 9.694
2.517 1.750 7.090
```



Number 1: energy above the lowest structure with this stoichiometry 0.0 meV/atom. Number 2: energy above the lowest structure with this stoichiometry 283.4 meV/atom.